First-principles (PBE) data for a relaxed Tl3In4Br8 crystal, as listed in the Alexandria database.

Cell and atoms, written as CIF:
```
data_Tl3In4Br8
_symmetry_space_group_name_H-M 'P 1'
_symmetry_Int_Tables_number 1
_cell_length_a 9.448
_cell_length_b 9.448
_cell_length_c 9.439
_cell_angle_alpha 119.97
_cell_angle_beta 119.97
_cell_angle_gamma 89.99
loop_
_symmetry_equiv_pos_as_xyz
'x,y,z'
loop_
_atom_site_label
_atom_site_type_symbol
_atom_site_fract_x
_atom_site_fract_y
_atom_site_fract_z
Tl1 Tl 0.000 0.000 0.000
Tl2 Tl 0.000 0.500 0.500
Tl3 Tl 0.500 0.000 0.500
In1 In 0.000 0.500 0.000
In2 In 0.500 0.000 0.000
In3 In 0.500 0.500 0.000
In4 In 0.500 0.500 0.500
Br1 Br 0.251 0.749 0.000
Br2 Br 0.276 0.724 0.500
Br3 Br 0.277 0.277 0.052
Br4 Br 0.278 0.278 0.502
Br5 Br 0.722 0.722 0.498
Br6 Br 0.723 0.723 0.948
Br7 Br 0.724 0.276 0.500
Br8 Br 0.749 0.251 0.000
```

## Properties
E_form (uncorrected): -0.72 eV per atom
space group: No. 12



First-principles (PBE) data for a relaxed RbTl2Ge crystal, as listed in the Alexandria database.

Cell and atoms, written as CIF:
```
data_RbTl2Ge
_symmetry_space_group_name_H-M 'P 1'
_symmetry_Int_Tables_number 1
_cell_length_a 7.846
_cell_length_b 7.846
_cell_length_c 7.846
_cell_angle_alpha 35.23
_cell_angle_beta 35.23
_cell_angle_gamma 35.23
loop_
_symmetry_equiv_pos_as_xyz
'x,y,z'
loop_
_atom_site_label
_atom_site_type_symbol
_atom_site_fract_x
_atom_site_fract_y
_atom_site_fract_z
Rb1 Rb 0.000 0.000 0.000
Tl1 Tl 0.220 0.220 0.220
Tl2 Tl 0.780 0.780 0.780
Ge1 Ge 0.500 0.500 0.500
```

## Properties
relative energy among the computed polymorphs: 0 meV/atom
space group: No. 166
DFT formation energy: 0.002 eV/atom



First-principles (PBE) data for a relaxed SnAuN2 crystal, as listed in the Alexandria database.

Cell and atoms, written as CIF:
```
data_SnAuN2
_symmetry_space_group_name_H-M 'P 1'
_symmetry_Int_Tables_number 1
_cell_length_a 4.570
_cell_length_b 5.503
_cell_length_c 10.791
_cell_angle_alpha 90.00
_cell_angle_beta 102.16
_cell_angle_gamma 90.42
loop_
_symmetry_equiv_pos_as_xyz
'x,y,z'
loop_
_atom_site_label
_atom_site_type_symbol
_atom_site_fract_x
_atom_site_fract_y
_atom_site_fract_z
Sn1 Sn 0.046 0.250 0.092
Sn2 Sn 0.954 0.750 0.908
Au1 Au 0.500 0.000 0.000
Au2 Au 0.500 0.500 0.000
N1 N 0.197 0.852 0.398
N2 N 0.206 0.650 0.398
N3 N 0.794 0.350 0.602
N4 N 0.803 0.148 0.602
```

## Properties
E_form (uncorrected): 0.07 eV per atom
space group: No. 2



First-principles (PBE) data for a relaxed Na2Np2Br2O5 crystal, as listed in the Alexandria database.

Cell and atoms, written as CIF:
```
data_Na2Np2Br2O5
_symmetry_space_group_name_H-M 'P 1'
_symmetry_Int_Tables_number 1
_cell_length_a 13.279
_cell_length_b 13.279
_cell_length_c 13.279
_cell_angle_alpha 161.84
_cell_angle_beta 161.84
_cell_angle_gamma 25.79
loop_
_symmetry_equiv_pos_as_xyz
'x,y,z'
loop_
_atom_site_label
_atom_site_type_symbol
_atom_site_fract_x
_atom_site_fract_y
_atom_site_fract_z
Na1 Na 0.160 0.160 0.000
Na2 Na 0.840 0.840 0.000
Np1 Np 0.420 0.420 0.000
Np2 Np 0.580 0.580 0.000
Br1 Br 0.306 0.306 0.000
Br2 Br 0.694 0.694 0.000
O1 O 0.090 0.590 0.500
O2 O 0.410 0.910 0.500
O3 O 0.500 0.500 0.000
O4 O 0.590 0.090 0.500
O5 O 0.910 0.410 0.500
```

## Properties
E_form (uncorrected): -2.35 eV per atom
space group: No. 139



First-principles (PBE) data for a relaxed TlB2H6 crystal, as listed in the Alexandria database.

Cell and atoms, written as CIF:
```
data_TlB2H6
_symmetry_space_group_name_H-M 'P 1'
_symmetry_Int_Tables_number 1
_cell_length_a 4.545
_cell_length_b 4.545
_cell_length_c 4.545
_cell_angle_alpha 60.00
_cell_angle_beta 60.00
_cell_angle_gamma 60.00
loop_
_symmetry_equiv_pos_as_xyz
'x,y,z'
loop_
_atom_site_label
_atom_site_type_symbol
_atom_site_fract_x
_atom_site_fract_y
_atom_site_fract_z
Tl1 Tl 0.000 0.000 0.000
B1 B 0.250 0.250 0.250
B2 B 0.750 0.750 0.750
H1 H 0.345 0.345 0.655
H2 H 0.345 0.655 0.345
H3 H 0.345 0.655 0.655
H4 H 0.655 0.345 0.345
H5 H 0.655 0.345 0.655
H6 H 0.655 0.655 0.345
```

## Properties
relative energy among the computed polymorphs: 1547 meV/atom
space group: No. 225



First-principles (PBE) data for a relaxed SrLa2ScPt crystal, as listed in the Alexandria database.

Cell and atoms, written as CIF:
```
data_SrLa2ScPt
_symmetry_space_group_name_H-M 'P 1'
_symmetry_Int_Tables_number 1
_cell_length_a 5.774
_cell_length_b 5.774
_cell_length_c 5.401
_cell_angle_alpha 90.00
_cell_angle_beta 90.00
_cell_angle_gamma 90.00
loop_
_symmetry_equiv_pos_as_xyz
'x,y,z'
loop_
_atom_site_label
_atom_site_type_symbol
_atom_site_fract_x
_atom_site_fract_y
_atom_site_fract_z
Sr1 Sr 0.000 0.000 0.000
La1 La 0.000 0.500 0.500
La2 La 0.500 0.000 0.500
Sc1 Sc 0.500 0.500 0.000
Pt1 Pt 0.500 0.500 0.500
```

## Properties
space group: No. 123
DFT formation energy: -0.357 eV/atom



First-principles (PBE) data for a relaxed Ba2MgAg2 crystal, as listed in the Alexandria database.

Cell and atoms, written as CIF:
```
data_Ba2MgAg2
_symmetry_space_group_name_H-M 'P 1'
_symmetry_Int_Tables_number 1
_cell_length_a 10.867
_cell_length_b 10.867
_cell_length_c 10.867
_cell_angle_alpha 158.37
_cell_angle_beta 158.37
_cell_angle_gamma 30.78
loop_
_symmetry_equiv_pos_as_xyz
'x,y,z'
loop_
_atom_site_label
_atom_site_type_symbol
_atom_site_fract_x
_atom_site_fract_y
_atom_site_fract_z
Ba1 Ba 0.115 0.115 0.000
Ba2 Ba 0.885 0.885 0.000
Mg1 Mg 0.500 0.500 0.000
Ag1 Ag 0.250 0.750 0.500
Ag2 Ag 0.750 0.250 0.500
```

## Properties
relative energy among the computed polymorphs: 214 meV/atom
space group: No. 139
DFT formation energy: -0.019 eV/atom



First-principles (PBE) data for a relaxed La8Te4AsS3 crystal, as listed in the Alexandria database.

Cell and atoms, written as CIF:
```
data_La8Te4AsS3
_symmetry_space_group_name_H-M 'P 1'
_symmetry_Int_Tables_number 1
_cell_length_a 8.906
_cell_length_b 8.906
_cell_length_c 8.906
_cell_angle_alpha 58.48
_cell_angle_beta 58.48
_cell_angle_gamma 58.48
loop_
_symmetry_equiv_pos_as_xyz
'x,y,z'
loop_
_atom_site_label
_atom_site_type_symbol
_atom_site_fract_x
_atom_site_fract_y
_atom_site_fract_z
La1 La 0.234 0.740 0.740
La2 La 0.237 0.237 0.237
La3 La 0.260 0.260 0.766
La4 La 0.260 0.766 0.260
La5 La 0.740 0.234 0.740
La6 La 0.740 0.740 0.234
La7 La 0.763 0.763 0.763
La8 La 0.766 0.260 0.260
Te1 Te 0.000 0.000 0.000
Te2 Te 0.000 0.500 0.500
Te3 Te 0.500 0.000 0.500
Te4 Te 0.500 0.500 0.000
As1 As 0.500 0.500 0.500
S1 S 0.000 0.000 0.500
S2 S 0.000 0.500 0.000
S3 S 0.500 0.000 0.000
```

## Properties
E_form (uncorrected): -1.82 eV per atom
space group: No. 166



First-principles (PBE) data for a relaxed NbTeCI2 crystal, as listed in the Alexandria database.

Cell and atoms, written as CIF:
```
data_NbTeCI2
_symmetry_space_group_name_H-M 'P 1'
_symmetry_Int_Tables_number 1
_cell_length_a 5.606
_cell_length_b 5.606
_cell_length_c 5.378
_cell_angle_alpha 90.00
_cell_angle_beta 90.00
_cell_angle_gamma 90.00
loop_
_symmetry_equiv_pos_as_xyz
'x,y,z'
loop_
_atom_site_label
_atom_site_type_symbol
_atom_site_fract_x
_atom_site_fract_y
_atom_site_fract_z
Nb1 Nb 0.000 0.000 0.000
Te1 Te 0.000 0.000 0.500
C1 C 0.500 0.500 0.500
I1 I 0.000 0.500 0.000
I2 I 0.500 0.000 0.000
```

## Properties
relative energy among the computed polymorphs: 15 meV/atom
E_form (uncorrected): 1.43 eV per atom
space group: No. 123



First-principles (PBE) data for a relaxed NbGe2BiMo crystal, as listed in the Alexandria database.

Cell and atoms, written as CIF:
```
data_NbGe2BiMo
_symmetry_space_group_name_H-M 'P 1'
_symmetry_Int_Tables_number 1
_cell_length_a 5.275
_cell_length_b 5.275
_cell_length_c 5.155
_cell_angle_alpha 90.00
_cell_angle_beta 90.00
_cell_angle_gamma 90.00
loop_
_symmetry_equiv_pos_as_xyz
'x,y,z'
loop_
_atom_site_label
_atom_site_type_symbol
_atom_site_fract_x
_atom_site_fract_y
_atom_site_fract_z
Nb1 Nb 0.000 0.000 0.000
Ge1 Ge 0.000 0.500 0.500
Ge2 Ge 0.500 0.000 0.500
Bi1 Bi 0.500 0.500 0.500
Mo1 Mo 0.500 0.500 0.000
```

## Properties
space group: No. 123
DFT formation energy: 2.124 eV/atom



| no. | total moment (μB per atom) | calculated density (g/cm³) |
| --- | --- | --- |
| 1 | 0.0464 | 4.77 |
| 2 | 0.0000 | 6.56 |
| 3 | 0.0000 | 4.30 |
| 4 | 0.3636 | 5.55 |
| 5 | 0.0000 | 5.80 |
| 6 | 0.0001 | 5.58 |
| 7 | 0.0621 | 4.91 |
| 8 | 0.0000 | 6.18 |
| 9 | 0.5056 | 4.78 |
| 10 | 0.5577 | 6.29 |